VASP calculation (PBE) on crystalline Cs4PdI8 at its relaxed geometry.

The value obtained for the uncorrected formation energy is -0.944 eV per atom. As for the energy: -2.560 eV/atom.

The structure belongs to space group Fmmm (No. 69); the cell edges are 10.941, 13.985 and 18.622 Å and the angles 90.00°, 90.00° and 90.00°. Symmetry generates all atoms from Cs at (0.250, 0.000, 0.250), Cs at (0.250, 0.250, 0.000), Pd at (0.000, 0.000, 0.000), I at (0.000, 0.121, 0.371) and I at (0.000, 0.127, 0.109).


VASP calculation (PBE) on crystalline CsPdI at its relaxed geometry.

The value obtained for the polymorph energy (0 for the lowest one) is 224 meV/atom. The value obtained for the uncorrected formation energy is -0.394 eV per atom. As for the energy: -2.926 eV/atom.

The structure belongs to space group Pnma (No. 62); the cell edges are 12.075, 8.195 and 4.209 Å and the angles 90.00°, 90.00° and 90.00°. Symmetry generates all atoms from Cs at (0.230, 0.250, 0.001), Pd at (0.037, 0.750, 0.000) and I at (0.000, 0.000, 0.500).


VASP calculation (PBE) on crystalline Cs3Pd2I8 at its relaxed geometry.

The value obtained for the uncorrected formation energy is -0.687 eV per atom. As for the energy: -2.637 eV/atom.

The structure belongs to space group R-3m (No. 166, hexagonal axes); the cell edges are 7.6964, 7.6964 and 34.8655 Å and the angles 90.00°, 90.00° and 120.00°. Symmetry generates all atoms from Cs at (0.0000, 0.0000, 0.0000), Cs at (0.0000, 0.0000, 0.2094), Pd at (0.0000, 0.0000, 0.3974), I at (0.0000, 0.0000, 0.3206) and I at (0.0124, 0.5062, 0.7685).


VASP calculation (PBE) on crystalline Cs3Pd2I6 at its relaxed geometry.

The value obtained for the uncorrected formation energy is -0.856 eV per atom. As for the energy: -2.879 eV/atom.

The structure belongs to space group I4/mmm (No. 139); the cell edges are 5.450, 5.450 and 32.406 Å and the angles 90.00°, 90.00° and 90.00°. Symmetry generates all atoms from Cs at (0.000, 0.000, 0.000), Cs at (0.000, 0.000, 0.181), Pd at (0.000, 0.000, 0.393), I at (0.000, 0.000, 0.303) and I at (0.000, 0.500, 0.087).


VASP calculation (PBE) on crystalline CsPd4I12 at its relaxed geometry.

The value obtained for the uncorrected formation energy is -0.248 eV per atom. As for the energy: -2.614 eV/atom.

The structure belongs to space group Im-3 (No. 204); the cell edges are 10.671, 10.671 and 10.671 Å and the angles 90.00°, 90.00° and 90.00°. Symmetry generates all atoms from Cs at (0.000, 0.000, 0.000), Pd at (0.250, 0.250, 0.250) and I at (0.000, 0.307, 0.196).


VASP calculation (PBE) on crystalline Cs3Pd2I7 at its relaxed geometry.

The value obtained for the uncorrected formation energy is -0.858 eV per atom. As for the energy: -2.841 eV/atom.

The structure belongs to space group I4/mmm (No. 139); the cell edges are 5.732, 5.732 and 30.140 Å and the angles 90.00°, 90.00° and 90.00°. Symmetry generates all atoms from Cs at (0.000, 0.000, 0.000), Cs at (0.000, 0.000, 0.181), Pd at (0.000, 0.000, 0.406), I at (0.000, 0.000, 0.313), I at (0.000, 0.000, 0.500) and I at (0.000, 0.500, 0.093).


VASP calculation (PBE) on crystalline Cs2PdI4 at its relaxed geometry.

The value obtained for the uncorrected formation energy is -0.969 eV per atom. As for the energy: -2.840 eV/atom.

The structure belongs to space group I4/mmm (No. 139); the cell edges are 5.793, 5.793 and 18.673 Å and the angles 90.00°, 90.00° and 90.00°. Symmetry generates all atoms from Cs at (0.000, 0.000, 0.139), Pd at (0.000, 0.000, 0.500), I at (0.000, 0.000, 0.353) and I at (0.000, 0.500, 0.000).


VASP calculation (PBE) on crystalline CsPd2I6 at its relaxed geometry.

The value obtained for the uncorrected formation energy is -0.387 eV per atom. As for the energy: -2.669 eV/atom.

The structure belongs to space group P-31m (No. 162); the cell edges are 7.3386, 7.3386 and 8.7095 Å and the angles 90.00°, 90.00° and 120.00°. Symmetry generates all atoms from Cs at (0.0000, 0.0000, 0.0000), Pd at (0.3333, 0.6667, 0.5000) and I at (0.0000, 0.3776, 0.6833).


Question: energy of number 6 (Cs3Pd2I7)?
Answer: -2.841 eV/atom